# 1
DFT (PBE) results for a relaxed AgAsIr2 crystal.

Calculated values
M_tot   0.000 μB/atom
ΔH_f (0 K)   331 meV/atom

a = 4.2267 Å, b = 2.8733 Å, c = 10.4199 Å
α = 90.00°, β = 90.00°, γ = 90.00°
With the nearest neighbours (Å) after each atom.
Space group Amm2 (No. 38)
Unique sites:
Ag 0.0000 0.0000 0.0000 [2 per cell]  7 Ir 2.69-2.94, 4 As 2.83, 2 Ag 2.87
As 0.5000 0.0000 0.6156 [2 per cell]  3 Ir 2.49-2.66
Ir 0.0000 0.0000 0.7418 [2 per cell]  2 As 2.49, 1 Ag 2.69
Ir 0.5000 0.0000 0.3604 [2 per cell]  3 As 2.66-2.93, 6 Ir 2.84-2.87, 4 Ag 2.94

***

# 2
DFT (PBE) results for a relaxed Li2PrY2Sn2 crystal.

Calculated values
M_tot   0.000 μB/atom
ΔH_f (0 K)   -488 meV/atom

a = 4.8241 Å, b = 4.8241 Å, c = 27.1969 Å
α = 90.00°, β = 90.00°, γ = 120.00°
With the nearest neighbours (Å) after each atom.
Space group R-3m (No. 166, hexagonal axes)
Unique sites:
Li 0.0000 0.0000 0.0906 [6 per cell]  3 Sn 2.79
Pr 0.0000 0.0000 0.5000 [3 per cell]  6 Sn 3.43, 6 Li 3.47, 2 Y 3.54
Y 0.0000 0.0000 0.3699 [6 per cell]  3 Li 3.15, 4 Sn 3.18-3.52, 3 Y 3.42
Sn 0.0000 0.0000 0.2404 [6 per cell]  3 Li 2.79

***

# 3
DFT (PBE) results for a relaxed Cs3Rb4AgF8 crystal.

Calculated values
M_tot   0.000 μB/atom
Formation energy from raw total energies   -38.67 eV per formula unit

a = 14.4058 Å, b = 8.1409 Å, c = 8.0919 Å
α = 90.00°, β = 123.60°, γ = 90.00°
With the nearest neighbours (Å) after each atom.
Space group C2/m (No. 12)
Unique sites:
Cs 0.0000 0.0000 0.0000 [2 per cell]  6 F 2.95-3.07
Cs 0.2500 0.2500 0.0000 [4 per cell]  6 F 2.94-3.07
Rb 0.0000 0.0000 0.5000 [2 per cell]  2 F 2.67
Rb 0.0000 0.5000 0.5000 [2 per cell]  6 F 2.83-2.93
Rb 0.2500 0.2500 0.5000 [4 per cell]  6 F 2.81-2.97
Ag 0.0000 0.5000 0.0000 [2 per cell]  4 F 2.54
F 0.0044 0.2836 0.2305 [8 per cell]  1 Ag 2.54, 1 Rb 2.83
F 0.2223 0.0000 0.7110 [4 per cell]  3 Rb 2.67-2.82, 2 Cs 2.96
F 0.2444 0.5000 0.7330 [4 per cell]  3 Rb 2.81-2.93, 3 Cs 2.94-3.07